(1)
Material: Zn4Ru3
Method: DFT, PBE
State: relaxed

The formation energy is 5.988 kcal/mol of atoms. As for the total moment: 0.71 μB/cell. Its polymorph energy (0 for the lowest one) is 264 meV per atom.

The space group is P6/mmm (No. 191) and the conventional cell measures 5.1174, 5.1174 and 4.7233 Å, with angles of 90.00, 90.00 and 120.00 degrees. The distinct sites, in fractional coordinates, are Zn at (0.0000, 0.0000, 0.2491), Zn at (0.3333, 0.6667, 0.0000) and Ru at (0.0000, 0.5000, 0.5000).

(2)
Material: Ba3NpCd2O8
Method: DFT, PBE
State: relaxed

The energy relative to the elements, uncorrected comes out at -2218 meV per atom. As for the total moment: 1.00 μB/cell.

The space group is P-3m1 (No. 164) and the conventional cell measures 6.0912, 6.0912 and 8.0540 Å, with angles of 90.00, 90.00 and 120.00 degrees. The distinct sites, in fractional coordinates, are Ba at (0.0000, 0.0000, 0.0000), Ba at (0.3333, 0.6667, 0.6363), Np at (0.0000, 0.0000, 0.5000), Cd at (0.3333, 0.6667, 0.1863), O at (0.1583, 0.3166, 0.3478) and O at (0.3333, 0.6667, 0.9331).

(3)
Material: SrCe2SmAs4
Method: DFT, PBE
State: relaxed

The formation energy is -31.750 kcal/mol of atoms. As for the total moment: 0.96 μB/cell.

The space group is P2/m (No. 10) and the conventional cell measures 7.390, 4.275 and 7.436 Å, with angles of 90.00, 109.43 and 90.00 degrees. The distinct sites, in fractional coordinates, are Sr at (0.000, 0.000, 0.000), Ce at (0.500, 0.000, 0.500), Ce at (0.500, 0.500, 0.000), Sm at (0.000, 0.500, 0.500), As at (0.259, 0.000, 0.745) and As at (0.268, 0.500, 0.265).